The following is a PBE-GGA calculation of a geometry-optimized La2HfSb2 structure, from the Alexandria database.

Calculated values
Total magnetic moment (Bohr magnetons per cell): 3.352
Uncorrected formation energy (meV per atom): -756

```
La2HfSb2
1.0
7.9959 0.0000 0.0000
0.0000 7.9959 0.0000
0.0000 0.0000 4.5939
Sb La Hf
4 4 2
direct
0.3520 0.8520 0.0000 Sb
0.6480 0.1480 0.0000 Sb
0.8520 0.6480 0.0000 Sb
0.1480 0.3520 0.0000 Sb
0.1621 0.6621 0.5000 La
0.6621 0.8379 0.5000 La
0.8379 0.3379 0.5000 La
0.3379 0.1621 0.5000 La
0.0000 0.0000 0.0000 Hf
0.5000 0.5000 0.0000 Hf
```